[1]
VASP calculation (PBE) on a relaxed structure of Tb2Pm2YHo4.

Summary:
spin magnetization	0.00	Bohr magnetons per cell
ΔH_f (0 K)	-0.02	eV per formula unit

a = 18.680 Å, b = 3.598 Å, c = 9.563 Å
α = 90.00°, β = 115.75°, γ = 90.00°
Space group C2/m (No. 12)
Inequivalent atoms, fractional coordinates:
Tb1 0.147 0.000 0.164 [4 per cell]
Pm1 0.166 0.500 0.500 [4 per cell]
Y1 0.000 0.000 0.500 [2 per cell]
Ho1 0.019 0.500 0.835 [4 per cell]
Ho2 0.185 0.000 0.836 [4 per cell]

---

[2]
VASP calculation (PBE) on a relaxed structure of CeNdInGa.

Summary:
distance to the lowest polymorph of the same formula	43	meV/atom
spin magnetization	3.63	Bohr magnetons per cell
ΔH_f (0 K)	-1.67	eV per formula unit

a = 7.564 Å, b = 7.564 Å, c = 7.564 Å
α = 90.00°, β = 90.00°, γ = 90.00°
Space group F-43m (No. 216)
Inequivalent atoms, fractional coordinates:
Ce1 0.000 0.000 0.000 [4 per cell]
Nd1 0.000 0.000 0.500 [4 per cell]
In1 0.250 0.250 0.750 [4 per cell]
Ga1 0.250 0.250 0.250 [4 per cell]

---

[3]
VASP calculation (PBE) on a relaxed structure of ZrAl2Au.

Summary:
spin magnetization	0.00	Bohr magnetons per cell
ΔH_f (0 K)	-1.86	eV per formula unit

a = 3.123 Å, b = 4.316 Å, c = 5.553 Å
α = 90.00°, β = 90.00°, γ = 90.00°
Space group Pmmm (No. 47)
Inequivalent atoms, fractional coordinates:
Zr1 0.000 0.000 0.000 [1 per cell]
Al1 0.500 0.500 0.241 [2 per cell]
Au1 0.500 0.000 0.500 [1 per cell]

---

[4]
VASP calculation (PBE) on a relaxed structure of LaAs2PbSe.

Summary:
energy relative to the elements, uncorrected	0.016	eV per atom
distance to the lowest polymorph of the same formula	0	meV/atom
spin magnetization	0.00	Bohr magnetons per cell

a = 5.293 Å, b = 5.293 Å, c = 5.460 Å
α = 90.00°, β = 90.00°, γ = 90.00°
Space group P4/mmm (No. 123)
Inequivalent atoms, fractional coordinates:
La1 0.000 0.000 0.000 [1 per cell]
As1 0.000 0.500 0.500 [2 per cell]
Pb1 0.500 0.500 0.500 [1 per cell]
Se1 0.500 0.500 0.000 [1 per cell]

---

[5]
VASP calculation (PBE) on a relaxed structure of Mn2CrAg.

Summary:
distance to the lowest polymorph of the same formula	0	meV/atom
spin magnetization	4.39	Bohr magnetons per cell
ΔH_f (0 K)	0.98	eV per formula unit

a = 2.888 Å, b = 2.888 Å, c = 6.885 Å
α = 90.00°, β = 90.00°, γ = 90.00°
Space group P4/mmm (No. 123)
Inequivalent atoms, fractional coordinates:
Mn1 0.000 0.000 0.213 [2 per cell]
Cr1 0.500 0.500 0.000 [1 per cell]
Ag1 0.500 0.500 0.500 [1 per cell]

---

[6]
VASP calculation (PBE) on a relaxed structure of Pr12ZnNi5.

Summary:
spin magnetization	0.00	Bohr magnetons per cell
ΔH_f (0 K)	-3.38	eV per formula unit

a = 9.616 Å, b = 10.051 Å, c = 10.268 Å
α = 90.00°, β = 90.00°, γ = 90.00°
Space group Immm (No. 71)
Inequivalent atoms, fractional coordinates:
Pr1 0.000 0.189 0.211 [8 per cell]
Pr2 0.196 0.500 0.174 [8 per cell]
Pr3 0.203 0.322 0.500 [8 per cell]
Zn1 0.000 0.000 0.500 [2 per cell]
Ni1 0.000 0.000 0.000 [2 per cell]
Ni2 0.000 0.366 0.000 [4 per cell]
Ni3 0.000 0.500 0.376 [4 per cell]

---

[7]
VASP calculation (PBE) on a relaxed structure of CdGaTe2N.

Summary:
energy relative to the elements, uncorrected	0.938	eV per atom
distance to the lowest polymorph of the same formula	430	meV/atom
spin magnetization	1.95	Bohr magnetons per cell

a = 5.912 Å, b = 5.912 Å, c = 4.095 Å
α = 90.00°, β = 90.00°, γ = 90.00°
Space group P4/mmm (No. 123)
Inequivalent atoms, fractional coordinates:
Cd1 0.000 0.000 0.000 [1 per cell]
Ga1 0.500 0.500 0.500 [1 per cell]
Te1 0.000 0.500 0.000 [2 per cell]
N1 0.000 0.000 0.500 [1 per cell]

---

[8]
VASP calculation (PBE) on a relaxed structure of ZrTaTc2.

Summary:
spin magnetization	0.00	Bohr magnetons per cell
ΔH_f (0 K)	0.77	eV per formula unit

a = 2.9884 Å, b = 2.9884 Å, c = 27.2392 Å
α = 90.00°, β = 90.00°, γ = 120.00°
Space group R3m (No. 160, hexagonal axes)
Inequivalent atoms, fractional coordinates:
Zr1 0.0000 0.0000 0.0000 [3 per cell]
Ta1 0.0000 0.0000 0.2421 [3 per cell]
Tc1 0.0000 0.0000 0.4938 [3 per cell]
Tc2 0.0000 0.0000 0.7545 [3 per cell]

---

[9]
VASP calculation (PBE) on a relaxed structure of CaPr3Ho2Te6.

Summary:
energy relative to the elements, uncorrected	-1.407	eV per atom
spin magnetization	0.00	Bohr magnetons per cell

a = 19.559 Å, b = 4.405 Å, c = 9.033 Å
α = 90.00°, β = 104.86°, γ = 90.00°
Space group C2/m (No. 12)
Inequivalent atoms, fractional coordinates:
Ca1 0.000 0.000 0.000 [2 per cell]
Pr1 0.000 0.000 0.500 [2 per cell]
Pr2 0.164 0.500 0.825 [4 per cell]
Ho1 0.169 0.500 0.336 [4 per cell]
Te1 0.006 0.500 0.245 [4 per cell]
Te2 0.166 0.000 0.091 [4 per cell]
Te3 0.169 0.000 0.572 [4 per cell]

---

[10]
VASP calculation (PBE) on a relaxed structure of Ca2AcZn2Ge2.

Summary:
spin magnetization	0.00	Bohr magnetons per cell
ΔH_f (0 K)	-3.35	eV per formula unit

a = 4.2994 Å, b = 4.2994 Å, c = 36.0869 Å
α = 90.00°, β = 90.00°, γ = 120.00°
Space group R-3m (No. 166, hexagonal axes)
Inequivalent atoms, fractional coordinates:
Ca1 0.0000 0.0000 0.1207 [6 per cell]
Ac1 0.0000 0.0000 0.0000 [3 per cell]
Zn1 0.0000 0.0000 0.3974 [6 per cell]
Ge1 0.0000 0.0000 0.2692 [6 per cell]

---

[11]
VASP calculation (PBE) on a relaxed structure of TbIn2Ni.

Summary:
spin magnetization	0.00	Bohr magnetons per cell
ΔH_f (0 K)	-1.04	eV per formula unit

a = 4.4205 Å, b = 4.4205 Å, c = 15.9320 Å
α = 90.00°, β = 90.00°, γ = 120.00°
Space group R-3m (No. 166, hexagonal axes)
Inequivalent atoms, fractional coordinates:
Tb1 0.0000 0.0000 0.0000 [3 per cell]
In1 0.0000 0.0000 0.2185 [6 per cell]
Ni1 0.0000 0.0000 0.5000 [3 per cell]

---

[12]
VASP calculation (PBE) on a relaxed structure of AcPm2In3.

Summary:
spin magnetization	0.00	Bohr magnetons per cell
ΔH_f (0 K)	-2.80	eV per formula unit

a = 3.919 Å, b = 3.919 Å, c = 11.905 Å
α = 90.00°, β = 90.00°, γ = 90.00°
Space group P4/mmm (No. 123)
Inequivalent atoms, fractional coordinates:
Ac1 0.000 0.000 0.000 [1 per cell]
Pm1 0.000 0.000 0.341 [2 per cell]
In1 0.500 0.500 0.186 [2 per cell]
In2 0.500 0.500 0.500 [1 per cell]

---

[13]
VASP calculation (PBE) on a relaxed structure of Ce2HgS.

Summary:
energy relative to the elements, uncorrected	-1.054	eV per atom
distance to the lowest polymorph of the same formula	0	meV/atom
spin magnetization	6.17	Bohr magnetons per cell

a = 4.0368 Å, b = 4.0368 Å, c = 23.0429 Å
α = 90.00°, β = 90.00°, γ = 120.00°
Space group R-3m (No. 166, hexagonal axes)
Inequivalent atoms, fractional coordinates:
Ce1 0.0000 0.0000 0.2355 [6 per cell]
Hg1 0.0000 0.0000 0.0000 [3 per cell]
S1 0.0000 0.0000 0.5000 [3 per cell]

---

[14]
VASP calculation (PBE) on a relaxed structure of UAlTlS4.

Summary:
energy relative to the elements, uncorrected	-1.036	eV per atom
spin magnetization	4.00	Bohr magnetons per cell

a = 6.491 Å, b = 6.599 Å, c = 8.875 Å
α = 90.00°, β = 108.08°, γ = 90.00°
Space group P2_1/m (No. 11)
Inequivalent atoms, fractional coordinates:
U1 0.222 0.250 0.052 [2 per cell]
Al1 0.233 0.750 0.831 [2 per cell]
Tl1 0.269 0.250 0.564 [2 per cell]
S1 0.007 0.507 0.202 [4 per cell]
S2 0.441 0.750 0.673 [2 per cell]
S3 0.456 0.750 0.082 [2 per cell]